Entry from Alexandria via LeMat-Bulk: a geometry-optimized TbGdRhPb structure (PBE).

Summary:
ΔH_f (0 K) = -2.02 eV/f.u.

Structure (CIF):
```
data_TbGdRhPb
_chemical_formula_sum 'Tb4 Gd4 Rh4 Pb4'
_space_group_name_H-M_alt 'F -4 3 m'
_space_group_IT_number 216
_space_group_name_Hall 'F -4 2 3'
_cell_length_a 7.334
_cell_length_b 7.334
_cell_length_c 7.334
_cell_angle_alpha 90.00
_cell_angle_beta 90.00
_cell_angle_gamma 90.00
loop_
_atom_site_label
_atom_site_fract_x
_atom_site_fract_y
_atom_site_fract_z
Tb1 0.000 0.000 0.000
Gd1 0.000 0.000 0.500
Rh1 0.250 0.250 0.250
Pb1 0.250 0.250 0.750
```